(1)
Al2AgRh2 (PBE-GGA, optimized geometry); D(E_F) = 0.372 states/eV per atom; space group = No. 127; total moment = 0.00 μB per formula unit; formation enthalpy at 0 K = -0.673 eV per atom; energy above the lowest structure with this stoichiometry = 0.0 meV/atom
1.0
-4.633 -5.088 2.019
3.774 -1.054 6.006
-1.604 2.000 1.359
Rh Al Ag
4 4 2
direct
0.154 0.654 0.500
0.654 0.846 0.500
0.846 0.346 0.500
0.346 0.154 0.500
0.359 0.859 0.000
0.859 0.641 0.000
0.641 0.141 0.000
0.141 0.359 0.000
0.000 0.000 0.000
0.500 0.500 0.000

(2)
AlAg2Rh2 (PBE-GGA, optimized geometry); D(E_F) = 0.886 states/eV per atom; space group = No. 127; total moment = 0.75 μB per formula unit; formation enthalpy at 0 K = -0.040 eV per atom; energy above the lowest structure with this stoichiometry = 0.0 meV/atom
1.0
-4.316 1.828 4.132
-0.622 -5.900 1.960
3.108 0.654 2.956
Rh Al Ag
4 2 4
direct
0.359 0.859 0.000
0.859 0.641 0.000
0.641 0.141 0.000
0.141 0.359 0.000
0.000 0.000 0.000
0.500 0.500 0.000
0.167 0.667 0.500
0.667 0.833 0.500
0.833 0.333 0.500
0.333 0.167 0.500

(3)
AlAgRh2 (PBE-GGA, optimized geometry); D(E_F) = 1.024 states/eV per atom; space group = No. 166; total moment = 0.32 μB per formula unit; formation enthalpy at 0 K = -0.338 eV per atom
1.0
8.751 0.003 0.002
8.288 2.809 0.002
8.288 1.368 2.454
Rh Al Ag
2 1 1
direct
0.009 0.009 0.009
0.491 0.491 0.491
0.750 0.750 0.750
0.250 0.250 0.250

(4)
AlAgRh2 (PBE-GGA, optimized geometry); D(E_F) = 1.112 states/eV per atom; space group = No. 160; total moment = 1.17 μB per formula unit; formation enthalpy at 0 K = -0.099 eV per atom
1.0
-6.968 -3.994 3.899
-7.169 -5.152 1.327
-5.440 -6.286 3.256
Rh Al Ag
2 1 1
direct
0.005 0.005 0.005
0.254 0.254 0.254
0.744 0.744 0.744
0.497 0.497 0.497

(5)
AlAgRh2 (PBE-GGA, optimized geometry); D(E_F) = 0.593 states/eV per atom; space group = No. 71; total moment = 0.00 μB per formula unit; formation enthalpy at 0 K = -0.286 eV per atom
1.0
-4.111 1.734 2.736
-3.906 -3.383 0.831
5.042 1.207 0.716
Rh Al Ag
2 1 1
direct
0.026 0.026 0.000
0.474 0.474 0.000
0.250 0.750 0.500
0.750 0.250 0.500

(6)
AlAgRh2S (PBE-GGA, optimized geometry); D(E_F) = 1.208 states/eV per atom; space group = No. 123; uncorrected formation energy = 1.364 eV/atom; total moment = 2.15 μB per formula unit; energy above the lowest structure with this stoichiometry = 716.1 meV/atom
1.0
-4.285 0.278 -2.410
-1.155 -4.138 1.576
-2.083 2.083 3.945
S Rh Al Ag
1 2 1 1
direct
0.500 0.500 0.500
0.000 0.000 0.500
0.500 0.000 0.000
0.000 0.500 0.000
0.000 0.000 0.000

(7)
AlAgRh2S (PBE-GGA, optimized geometry); D(E_F) = 1.514 states/eV per atom; space group = No. 123; uncorrected formation energy = 0.648 eV/atom; total moment = 1.01 μB per formula unit; energy above the lowest structure with this stoichiometry = 0.0 meV/atom
1.0
4.585 0.000 0.000
0.000 4.483 0.000
0.000 0.000 4.585
S Rh Al Ag
1 2 1 1
direct
0.000 0.500 0.000
0.000 0.000 0.500
0.500 0.000 0.000
0.000 0.000 0.000
0.500 0.500 0.500

(8)
Sc5Al2AgRh2 (PBE-GGA, optimized geometry); D(E_F) = 0.604 states/eV per atom; space group = No. 127; total moment = 0.00 μB per formula unit; formation enthalpy at 0 K = -0.489 eV per atom
1.0
-3.365 -0.778 -0.084
0.605 -1.457 -10.705
2.376 -10.441 1.556
Sc Al Ag Rh
10 4 2 4
direct
0.500 0.200 0.079
0.500 0.800 0.921
0.500 0.079 0.800
0.500 0.700 0.421
0.500 0.921 0.200
0.500 0.300 0.579
0.500 0.579 0.700
0.500 0.421 0.300
0.500 0.500 0.000
0.500 0.000 0.500
0.000 0.672 0.172
0.000 0.328 0.828
0.000 0.172 0.328
0.000 0.828 0.672
0.000 0.000 0.000
0.000 0.500 0.500
0.000 0.135 0.635
0.000 0.865 0.365
0.000 0.635 0.865
0.000 0.365 0.135

(9)
TiAl2AgRh (PBE-GGA, optimized geometry); D(E_F) = 1.044 states/eV per atom; space group = No. 123; total moment = 0.01 μB per formula unit; formation enthalpy at 0 K = 0.067 eV per atom
1.0
-4.100 -0.115 2.227
-2.153 -1.151 -4.023
0.643 -4.524 0.950
Rh Al Ag Ti
1 2 1 1
direct
0.000 0.000 0.000
0.000 0.000 0.500
0.500 0.000 0.000
0.500 0.500 0.500
0.000 0.500 0.000

(10)
AlAgRu2 (PBE-GGA, optimized geometry); D(E_F) = 1.048 states/eV per atom; space group = No. 119; total moment = 0.00 μB per formula unit; formation enthalpy at 0 K = 0.100 eV per atom
1.0
-1.864 4.189 -1.024
-4.615 -0.670 -0.575
2.829 -1.276 3.527
Ru Al Ag
2 1 1
direct
0.000 0.000 0.000
0.250 0.750 0.500
0.750 0.250 0.500
0.500 0.500 0.000

(11)
AlAg2Ru (PBE-GGA, optimized geometry); D(E_F) = 0.703 states/eV per atom; space group = No. 65; total moment = 0.97 μB per formula unit; formation enthalpy at 0 K = 0.324 eV per atom
1.0
-2.237 -0.672 1.534
2.004 -1.918 -0.337
4.394 3.219 7.818
Ru Al Ag
1 1 2
direct
0.500 0.500 0.750
0.500 0.500 0.250
0.000 0.000 0.006
0.000 0.000 0.494

(12)
AlAgRu2 (PBE-GGA, optimized geometry); D(E_F) = 1.297 states/eV per atom; space group = No. 139; total moment = 1.53 μB per formula unit; formation enthalpy at 0 K = 0.214 eV per atom
1.0
-0.115 3.970 2.597
1.135 -1.153 4.460
2.190 -0.957 -4.099
Ru Al Ag
2 1 1
direct
0.000 0.000 0.000
0.500 0.500 0.000
0.750 0.250 0.500
0.250 0.750 0.500

(13)
AlAgRu2 (PBE-GGA, optimized geometry); D(E_F) = 1.000 states/eV per atom; space group = No. 12; total moment = 1.12 μB per formula unit; formation enthalpy at 0 K = 0.226 eV per atom
1.0
-5.004 1.471 -0.603
1.252 -5.019 -0.901
-1.278 -1.326 2.056
Ru Al Ag
2 1 1
direct
0.000 0.000 0.000
0.500 0.500 0.000
0.000 0.500 0.500
0.500 0.000 0.500

(14)
AlAgRu2 (PBE-GGA, optimized geometry); D(E_F) = 0.839 states/eV per atom; space group = No. 8; total moment = 0.00 μB per formula unit; formation enthalpy at 0 K = 0.048 eV per atom
1.0
4.709 -0.003 -0.005
3.849 2.713 -0.005
0.878 0.278 4.658
Ru Al Ag
2 1 1
direct
0.997 0.997 0.976
0.742 0.742 0.786
0.257 0.257 0.258
0.503 0.503 0.480

(15)
AlAgRu2 (PBE-GGA, optimized geometry); D(E_F) = 1.043 states/eV per atom; space group = No. 44; total moment = 0.00 μB per formula unit; formation enthalpy at 0 K = 0.102 eV per atom
1.0
5.199 0.007 0.004
2.407 4.608 -0.004
-3.260 -3.201 2.480
Ru Al Ag
2 1 1
direct
0.006 0.006 0.000
0.763 0.263 0.500
0.242 0.742 0.500
0.489 0.489 0.000

(16)
AlAg2Ru (PBE-GGA, optimized geometry); D(E_F) = 0.496 states/eV per atom; space group = No. 123; total moment = 1.46 μB per formula unit; formation enthalpy at 0 K = 0.319 eV per atom
1.0
2.818 0.000 0.000
0.000 2.818 0.000
0.000 0.000 8.160
Ru Al Ag
1 1 2
direct
0.500 0.500 0.750
0.500 0.500 0.250
0.000 0.000 0.009
0.000 0.000 0.491

(17)
AlAgRu2 (PBE-GGA, optimized geometry); D(E_F) = 0.678 states/eV per atom; space group = No. 25; total moment = 0.00 μB per formula unit; formation enthalpy at 0 K = 0.021 eV per atom
1.0
-2.469 2.532 -1.082
-2.063 -1.922 0.210
-2.910 -0.405 5.690
Ru Al Ag
2 1 1
direct
0.000 0.988 0.012
0.500 0.284 0.216
0.500 0.737 0.763
0.000 0.491 0.510

(18)
AlAgRu2 (PBE-GGA, optimized geometry); D(E_F) = 1.058 states/eV per atom; space group = No. 47; total moment = 0.86 μB per formula unit; formation enthalpy at 0 K = 0.177 eV per atom
1.0
-2.359 1.714 0.194
-1.776 -2.797 3.106
1.998 2.377 3.283
Ru Al Ag
2 1 1
direct
0.000 0.000 0.000
0.500 0.500 0.000
0.000 0.500 0.500
0.500 0.000 0.500

(19)
AlAgRu2 (PBE-GGA, optimized geometry); D(E_F) = 1.340 states/eV per atom; space group = No. 10; total moment = 0.63 μB per formula unit; formation enthalpy at 0 K = 0.155 eV per atom
1.0
4.104 0.000 0.000
0.000 2.819 0.006
0.000 1.690 5.225
Ru Al Ag
2 1 1
direct
0.000 0.912 0.973
0.000 0.588 0.527
0.500 0.750 0.750
0.500 0.250 0.250

(20)
AlAg2Ru (PBE-GGA, optimized geometry); D(E_F) = 0.636 states/eV per atom; space group = No. 166; total moment = 0.78 μB per formula unit; formation enthalpy at 0 K = 0.291 eV per atom
1.0
9.393 -0.007 -0.004
8.968 2.792 -0.004
8.968 1.360 2.438
Ru Al Ag
1 1 2
direct
0.750 0.750 0.750
0.250 0.250 0.250
0.998 0.998 0.998
0.502 0.502 0.502

no.,ρ (Mg/m³),energy (eV/atom)
1,8.180,-5.6810
2,8.793,-4.8691
3,9.393,-5.6624
4,9.304,-5.4230
5,9.435,-5.6105
6,5.579,-3.7204
7,6.568,-4.4365
8,4.864,-6.1582
9,5.063,-5.0492
10,9.455,-6.1862
11,8.719,-4.3567
12,9.335,-6.0719
13,9.264,-6.0604
14,9.394,-6.2387
15,9.433,-6.1841
16,8.813,-4.3610
17,9.309,-6.2652
18,9.332,-6.1089
19,9.264,-6.1314
20,8.893,-4.3894